Record 1
The following is a SCAN calculation of a PBEsol-optimized structure of Tl2RuPb, from the Alexandria database.

Summary:
Energy of formation = 318 meV per atom
Offset from the most stable computed form = 14 meV per atom
Size of the total moment = 0.00 Bohr magnetons per cell

Unit cell a=3.244 b=3.244 c=8.814 alpha=90.00 beta=90.00 gamma=90.00
Space group P4mm (No. 99)
Unique sites:
Tl 0.000 0.000 0.000 [1 per cell]
Tl 0.500 0.500 0.299 [1 per cell]
Ru 0.500 0.500 0.806 [1 per cell]
Pb 0.000 0.000 0.617 [1 per cell]


Record 2
The following is a SCAN calculation of a PBEsol-optimized structure of La5Zn3, from the Alexandria database.

Summary:
Energy of formation = -244 meV per atom
Offset from the most stable computed form = 0 meV per atom
Size of the total moment = 0.68 Bohr magnetons per cell

Unit cell a=12.189 b=12.189 c=5.786 alpha=90.00 beta=90.00 gamma=90.00
Space group I4/mcm (No. 140)
Unique sites:
La 0.000 0.500 0.250 [4 per cell]
La 0.088 0.222 0.000 [16 per cell]
Zn 0.000 0.000 0.250 [4 per cell]
Zn 0.161 0.339 0.500 [8 per cell]


> Which value of size of the total moment does entry 2 give?

0.68 Bohr magnetons per cell


> What is the size of the total moment in the second record?

0.68 Bohr magnetons per cell